Entry 1:
Entry from the Alexandria database: a crystal of LaSeSCl2 relaxed with PBEsol (meta-GGA SCAN).

Computed properties:
- raw total energy (eV/atom) = -18.835

Structure (CIF):
```
data_LaSeSCl2
_cell_length_a 5.456
_cell_length_b 5.456
_cell_length_c 5.604
_cell_angle_alpha 90.00
_cell_angle_beta 90.00
_cell_angle_gamma 90.00
_space_group_name_H-M_alt 'P 4/m m m'
_space_group_IT_number 123
_space_group_name_Hall '-P 4 2'
loop_
_atom_site_label
_atom_site_fract_x
_atom_site_fract_y
_atom_site_fract_z
La1 0.000 0.000 0.000
Se1 0.500 0.500 0.500
S1 0.000 0.000 0.500
Cl1 0.000 0.500 0.000
```


Entry 2:
Entry from the Alexandria database: a crystal of La3Si2S8Cl relaxed with PBEsol (meta-GGA SCAN).

Computed properties:
- raw total energy (eV/atom) = -18.586

Structure (CIF):
```
data_La3Si2S8Cl
_cell_length_a 15.457
_cell_length_b 7.744
_cell_length_c 10.923
_cell_angle_alpha 90.00
_cell_angle_beta 96.69
_cell_angle_gamma 90.00
_space_group_name_H-M_alt 'C 1 2/c 1'
_space_group_IT_number 15
loop_
_space_group_symop_operation_xyz
'x,y,z'
'-x,-y,-z'
'-x,y,-z+1/2'
'x,-y,z+1/2'
'x+1/2,y+1/2,z'
'-x+1/2,-y+1/2,-z'
'-x+1/2,y+1/2,-z+1/2'
'x+1/2,-y+1/2,z+1/2'
loop_
_atom_site_label
_atom_site_fract_x
_atom_site_fract_y
_atom_site_fract_z
La1 0.000 0.118 0.250
La2 0.192 0.381 0.686
Si1 0.161 0.030 0.030
S1 0.063 0.155 0.552
S2 0.148 0.091 0.840
S3 0.149 0.248 0.143
S4 0.214 0.423 0.416
Cl1 0.000 0.496 0.250
```


Entry 3:
Entry from the Alexandria database: a crystal of LaTeSCl2 relaxed with PBEsol (meta-GGA SCAN).

Computed properties:
- raw total energy (eV/atom) = -22.383

Structure (CIF):
```
data_LaTeSCl2
_cell_length_a 5.409
_cell_length_b 5.409
_cell_length_c 5.637
_cell_angle_alpha 90.00
_cell_angle_beta 90.00
_cell_angle_gamma 90.00
_space_group_name_H-M_alt 'P 4/m m m'
_space_group_IT_number 123
_space_group_name_Hall '-P 4 2'
loop_
_atom_site_label
_atom_site_fract_x
_atom_site_fract_y
_atom_site_fract_z
La1 0.000 0.000 0.000
Te1 0.500 0.500 0.500
S1 0.000 0.000 0.500
Cl1 0.000 0.500 0.000
```


Entry 4:
Entry from the Alexandria database: a crystal of LaTiSCl2 relaxed with PBEsol (meta-GGA SCAN).

Computed properties:
- raw total energy (eV/atom) = -18.500

Structure (CIF):
```
data_LaTiSCl2
_cell_length_a 4.626
_cell_length_b 4.626
_cell_length_c 4.768
_cell_angle_alpha 90.00
_cell_angle_beta 90.00
_cell_angle_gamma 90.00
_space_group_name_H-M_alt 'P 4/m m m'
_space_group_IT_number 123
_space_group_name_Hall '-P 4 2'
loop_
_atom_site_label
_atom_site_fract_x
_atom_site_fract_y
_atom_site_fract_z
La1 0.000 0.000 0.000
Ti1 0.500 0.500 0.500
S1 0.500 0.500 0.000
Cl1 0.000 0.500 0.500
```


Entry 5:
Entry from the Alexandria database: a crystal of LaSbCl relaxed with PBEsol (meta-GGA SCAN).

Computed properties:
- excess energy over the best structure of this formula in the dataset (eV per atom) = 0.4796

Structure (CIF):
```
data_LaSbCl
_cell_length_a 7.364
_cell_length_b 7.364
_cell_length_c 7.364
_cell_angle_alpha 90.00
_cell_angle_beta 90.00
_cell_angle_gamma 90.00
_space_group_name_H-M_alt 'F -4 3 m'
_space_group_IT_number 216
_space_group_name_Hall 'F -4 2 3'
loop_
_atom_site_label
_atom_site_fract_x
_atom_site_fract_y
_atom_site_fract_z
La1 0.000 0.000 0.000
Sb1 0.250 0.250 0.750
Cl1 0.000 0.000 0.500
```


Entry 6:
Entry from the Alexandria database: a crystal of LaSb2Cl relaxed with PBEsol (meta-GGA SCAN).

Computed properties:
- excess energy over the best structure of this formula in the dataset (eV per atom) = 0.0000

Structure (CIF):
```
data_LaSb2Cl
_cell_length_a 4.099
_cell_length_b 5.764
_cell_length_c 9.450
_cell_angle_alpha 90.00
_cell_angle_beta 90.00
_cell_angle_gamma 90.00
_space_group_name_H-M_alt 'I m m 2'
_space_group_IT_number 44
loop_
_space_group_symop_operation_xyz
'x,y,z'
'-x,-y,z'
'-x,y,z'
'x,-y,z'
'x+1/2,y+1/2,z+1/2'
'-x+1/2,-y+1/2,z+1/2'
'-x+1/2,y+1/2,z+1/2'
'x+1/2,-y+1/2,z+1/2'
loop_
_atom_site_label
_atom_site_fract_x
_atom_site_fract_y
_atom_site_fract_z
La1 0.000 0.000 0.000
Sb1 0.000 0.000 0.527
Sb2 0.000 0.500 0.821
Cl1 0.000 0.500 0.290
```


Entry 7:
Entry from the Alexandria database: a crystal of LaSb2Cl relaxed with PBEsol (meta-GGA SCAN).

Computed properties:
- excess energy over the best structure of this formula in the dataset (eV per atom) = 0.1291

Structure (CIF):
```
data_LaSb2Cl
_cell_length_a 4.402
_cell_length_b 4.402
_cell_length_c 5.791
_cell_angle_alpha 90.00
_cell_angle_beta 90.00
_cell_angle_gamma 90.00
_space_group_name_H-M_alt 'P 4/m m m'
_space_group_IT_number 123
_space_group_name_Hall '-P 4 2'
loop_
_atom_site_label
_atom_site_fract_x
_atom_site_fract_y
_atom_site_fract_z
La1 0.000 0.000 0.000
Sb1 0.500 0.500 0.242
Cl1 0.000 0.000 0.500
```


Entry 8:
Entry from the Alexandria database: a crystal of LaSbCl relaxed with PBEsol (meta-GGA SCAN).

Computed properties:
- excess energy over the best structure of this formula in the dataset (eV per atom) = 0.0000

Structure (CIF):
```
data_LaSbCl
_cell_length_a 4.1614
_cell_length_b 4.1614
_cell_length_c 6.8042
_cell_angle_alpha 90.00
_cell_angle_beta 90.00
_cell_angle_gamma 120.00
_space_group_name_H-M_alt 'P 3 m 1'
_space_group_IT_number 156
loop_
_space_group_symop_operation_xyz
'x,y,z'
'-y,x-y,z'
'-x+y,-x,z'
'-y,-x,z'
'-x+y,y,z'
'x,x-y,z'
loop_
_atom_site_label
_atom_site_fract_x
_atom_site_fract_y
_atom_site_fract_z
La1 0.0000 0.0000 0.0000
Sb1 0.3333 0.6667 0.6846
Cl1 0.6667 0.3333 0.2277
```